1.
# Tb12Tl5Hg2

A relaxed Tb12Tl5Hg2 crystal (PBE, Alexandria via LeMat-Bulk).

```
Tb12Tl5Hg2
1.0
-0.6947 5.0827 5.2971
-7.8877 -1.4091 -4.8150
-3.4817 -6.3324 5.6196
Tb Tl Hg
12 5 2
Cartesian
-8.5574 2.3699 1.7364
-8.5757 -6.3413 2.2936
-8.9366 -3.7007 5.0455
-7.3597 -3.6375 0.0141
-7.6996 -1.1509 2.6056
-10.5271 -3.2636 1.7510
-1.5369 0.6048 4.3507
-4.7043 0.9787 6.0876
-4.3644 -1.5079 3.4961
-3.4883 3.6825 3.8081
-3.1274 1.0420 1.0562
-3.5066 -5.0287 4.3653
-6.3756 -4.2103 3.2038
-5.8037 -0.7827 -0.0100
-1.7408 -3.1662 2.8098
-6.2603 -1.8760 6.1117
-5.6884 1.5516 2.8979
-0.4764 3.4856 3.6326
-0.2183 1.5972 1.6645
```

Results
Its energy relative to the elements is -2.8 eV per formula unit. For the final energy, the calculation gives -3.73 eV per atom. The density comes out at 9.6 g/cm3.

2.
# Tb6Tl2Hg

A relaxed Tb6Tl2Hg crystal (PBE, Alexandria via LeMat-Bulk).

```
Tb6Tl2Hg
1.0
-1.3293 2.6181 -2.3680
-5.8263 -5.9148 -3.2688
-2.2691 5.1280 6.9434
Tb Tl Hg
6 2 1
Cartesian
-4.2256 -2.3060 -3.1819
-3.8117 1.0034 0.2447
-7.8777 -1.4711 -0.2087
-1.6024 -1.6267 -0.8990
-5.8696 -0.5705 2.6642
-0.6239 1.4100 1.9091
-3.4550 1.4473 3.5397
-4.6401 -2.2338 0.1350
-0.6652 1.3085 -1.1843
```

Results
Its energy relative to the elements is -2.4 eV per formula unit. For the final energy, the calculation gives -3.92 eV per atom. The density comes out at 10.0 g/cm3.

3.
# Tb4Tl2Hg5

A relaxed Tb4Tl2Hg5 crystal (PBE, Alexandria via LeMat-Bulk).

```
Tb4Tl2Hg5
1.0
3.5860 0.0000 0.0000
0.0000 8.1347 0.0982
0.0000 1.2681 10.0151
Tb Tl Hg
4 2 5
Cartesian
1.7930 2.9321 5.7547
1.7930 7.7586 9.0695
1.7930 6.4707 4.3585
1.7930 1.6442 1.0438
0.0000 8.2885 6.4966
0.0000 1.1143 3.6167
0.0000 4.1413 3.1408
0.0000 6.9982 1.6027
0.0000 4.0674 0.0491
0.0000 2.4046 8.5106
0.0000 5.2615 6.9725
```

Results
Its energy relative to the elements is -3.4 eV per formula unit. For the final energy, the calculation gives -2.56 eV per atom. The density comes out at 11.7 g/cm3.

4.
# Tb5Tl3Hg

A relaxed Tb5Tl3Hg crystal (PBE, Alexandria via LeMat-Bulk).

```
Tb5Tl3Hg
1.0
6.7893 0.0000 0.0000
0.0000 9.3059 0.0000
0.0000 -4.6530 8.0593
Tb Tl Hg
10 6 2
Cartesian
0.0000 4.6530 2.6862
3.3947 0.0000 5.3731
0.0000 0.0000 5.3731
3.3947 4.6530 2.6862
5.0920 3.3365 5.7790
5.0920 -1.3164 2.2803
5.0920 2.6329 0.0000
1.6973 1.3164 2.2803
1.6973 5.9694 5.7790
1.6973 6.6730 0.0000
5.0920 1.7559 3.0413
5.0920 -2.8970 5.0180
5.0920 5.7941 0.0000
1.6973 2.8970 5.0180
1.6973 7.5500 3.0413
1.6973 3.5118 0.0000
0.0000 0.0000 0.0000
3.3947 0.0000 0.0000
```

Results
Its energy relative to the elements is -3.4 eV per formula unit. For the final energy, the calculation gives -3.77 eV per atom. The density comes out at 10.5 g/cm3.